1.
An optimized crystal structure of Ac4Sc3CuO12. Source: Alexandria, functional GGA-PBE.

Geometry as POSCAR:
```
Ac4Sc3CuO12
1.0
-5.751 0.868 4.018
0.884 -6.873 -1.395
5.668 2.455 3.437
Cu O Ac Sc
1 12 4 3
Cartesian
0.000 0.000 0.000
2.059 -3.710 1.677
4.945 -3.335 1.541
-0.020 0.815 1.828
-0.795 -4.107 1.822
1.607 -1.084 0.501
1.597 0.557 4.238
3.255 -1.379 2.885
-1.258 0.160 4.383
-1.194 -1.473 0.643
-2.454 -2.172 3.175
-0.062 2.508 5.626
-3.673 -4.532 1.979
0.401 -1.775 3.030
2.834 1.227 1.719
-2.875 0.434 2.009
0.442 -3.436 -0.698
3.276 -2.209 1.021
-0.041 1.661 3.727
-2.433 -3.002 1.311
```

Output
- Crystal system: cubic
- Space-group type: Im-3m
- Density of states at the Fermi level: 1.21 states/eV per cell
- Total magnetization: 0.10 μB/atom
- ΔE_f (raw): -3.024 eV/atom
- Mass density: 7.9 g cm⁻³

2.
An optimized crystal structure of Tb12Ho5Tl2. Source: Alexandria, functional GGA-PBE.

Geometry as POSCAR:
```
Tb12Ho5Tl2
1.0
9.313 0.000 0.000
-4.656 7.587 1.163
0.000 -1.562 8.198
Tb Tl Ho
12 2 5
Cartesian
1.723 1.923 2.289
4.656 6.105 1.905
6.481 0.862 5.657
0.000 -0.080 7.456
-1.824 5.163 3.704
4.656 0.310 2.749
2.933 4.102 7.072
2.832 0.862 5.657
0.000 5.715 6.612
7.589 1.923 2.289
1.824 5.163 3.704
-2.933 4.102 7.072
2.916 0.000 0.000
6.397 0.000 0.000
4.656 2.827 0.458
0.000 3.198 8.903
0.000 -0.781 4.099
4.656 3.382 4.030
0.000 2.643 5.331
```

Output
- Crystal system: monoclinic
- Space-group type: C2/m
- Energy of formation: 23 meV/atom
- Density of states at the Fermi level: 28.09 states/eV per cell
- Total magnetization: 0.00 μB/atom
- Mass density: 8.7 g cm⁻³

3.
An optimized crystal structure of ReIrW2. Source: Alexandria, functional GGA-PBE.

Geometry as POSCAR:
```
ReIrW2
1.0
4.849 -0.007 0.006
4.060 2.650 0.006
0.750 0.223 4.805
Re Ir W
1 1 2
Cartesian
7.306 2.167 3.598
4.803 1.425 2.407
0.762 0.226 4.767
2.367 0.702 1.259
```

Output
- Crystal system: monoclinic
- Space-group type: Cm
- Energy of formation: 0 meV/atom
- Density of states at the Fermi level: 2.43 states/eV per cell
- Total magnetization: 0.00 μB/atom
- Mass density: 20.0 g cm⁻³

4.
An optimized crystal structure of AcNdCu10. Source: Alexandria, functional GGA-PBE.

Geometry as POSCAR:
```
AcNdCu10
1.0
-1.620 -3.746 -0.516
4.780 -1.945 -0.890
0.973 -1.633 8.796
Cu Ac Nd
10 1 1
Cartesian
-0.323 -2.689 4.140
1.104 -3.588 6.179
3.208 -2.345 6.944
0.655 -1.100 5.922
2.546 -1.234 0.963
3.529 -4.575 5.727
0.318 -0.534 2.875
0.604 -2.749 1.663
1.580 -2.845 -0.703
3.029 -3.736 1.212
2.877 -1.789 3.953
0.000 0.000 0.000
```

Output
- Crystal system: orthorhombic
- Space-group type: Pmmm
- Energy of formation: -138 meV/atom
- Density of states at the Fermi level: 7.66 states/eV per cell
- Total magnetization: 0.00 μB/atom
- Mass density: 8.6 g cm⁻³

5.
An optimized crystal structure of Ce3Bi4Au3. Source: Alexandria, functional GGA-PBE.

Geometry as POSCAR:
```
Ce3Bi4Au3
1.0
-0.857 -6.722 5.847
3.947 -3.010 -7.448
5.002 6.481 3.617
Ce Bi Au
6 8 6
Cartesian
5.897 0.459 0.250
4.300 -4.028 -0.575
4.597 -1.854 -4.882
4.656 3.614 3.696
0.862 -5.824 3.707
3.964 -2.119 3.853
1.389 -6.088 0.263
6.621 -2.659 1.650
1.818 -2.727 -2.661
2.575 -1.034 0.642
2.982 1.058 5.390
5.192 1.188 -3.270
3.219 2.693 0.454
0.481 -2.183 3.581
3.495 -1.397 6.898
4.128 -1.131 -1.837
3.792 0.778 2.591
2.195 -3.710 1.766
3.436 -6.865 -1.679
7.230 2.573 -1.690
```

Output
- Crystal system: cubic
- Space-group type: I-43d
- Energy of formation: -650 meV/atom
- Density of states at the Fermi level: 43.11 states/eV per cell
- Total magnetization: 0.30 μB/atom
- Mass density: 11.1 g cm⁻³

6.
An optimized crystal structure of Tb5Pr12Sc2. Source: Alexandria, functional GGA-PBE.

Geometry as POSCAR:
```
Tb5Pr12Sc2
1.0
-6.442 -2.995 -3.372
-0.348 -0.317 10.116
-5.284 7.258 3.650
Tb Sc Pr
5 2 12
Cartesian
-5.672 5.014 6.383
-2.642 3.629 1.825
-8.809 3.668 4.403
-3.265 0.278 5.991
-6.402 -1.068 4.011
-2.100 -0.976 -1.099
-4.342 -2.018 -2.272
-6.655 1.473 6.687
-8.777 4.209 8.085
-7.628 -1.909 7.099
-4.446 5.855 3.295
-5.303 5.824 9.904
-5.419 2.473 3.707
-5.025 0.775 -0.258
-6.771 -1.878 0.490
-3.340 3.015 8.422
-8.735 0.932 1.971
-7.050 3.171 10.652
-3.298 -0.263 2.308
```

Output
- Crystal system: monoclinic
- Space-group type: C2/m
- Energy of formation: 170 meV/atom
- Density of states at the Fermi level: 29.24 states/eV per cell
- Total magnetization: 0.00 μB/atom
- Mass density: 6.6 g cm⁻³